Material: TaTcMo2
Method: DFT, PBE
State: optimized geometry

a = 6.3512 Å, b = 6.3512 Å, c = 6.3512 Å
α = 90.00°, β = 90.00°, γ = 90.00°
Closest atoms and distances in Å follow each position.
Fractional coordinates of all 16 atoms:
Ta 0.0000 0.0000 0.0000  4 Tc 2.75, 4 Mo 2.75
Ta 0.0000 0.5000 0.5000  4 Tc 2.75, 4 Mo 2.75
Ta 0.5000 0.0000 0.5000  4 Tc 2.75, 4 Mo 2.75
Ta 0.5000 0.5000 0.0000  4 Tc 2.75, 4 Mo 2.75
Tc 0.2500 0.2500 0.2500  4 Ta 2.75, 4 Mo 2.75
Tc 0.2500 0.7500 0.7500  4 Ta 2.75, 4 Mo 2.75
Tc 0.7500 0.2500 0.7500  4 Ta 2.75, 4 Mo 2.75
Tc 0.7500 0.7500 0.2500  4 Ta 2.75, 4 Mo 2.75
Mo 0.0000 0.0000 0.5000  4 Mo 2.75, 4 Tc 2.75
Mo 0.0000 0.5000 0.0000  4 Mo 2.75, 4 Tc 2.75
Mo 0.2500 0.2500 0.7500  4 Ta 2.75, 4 Mo 2.75
Mo 0.2500 0.7500 0.2500  4 Ta 2.75, 4 Mo 2.75
Mo 0.5000 0.0000 0.0000  4 Mo 2.75, 4 Tc 2.75
Mo 0.5000 0.5000 0.5000  4 Mo 2.75, 4 Tc 2.75
Mo 0.7500 0.2500 0.2500  4 Ta 2.75, 4 Mo 2.75
Mo 0.7500 0.7500 0.7500  4 Ta 2.75, 4 Mo 2.75

Summary:
Final energy (eV/atom): -11.1452
DOS at the Fermi energy (states/eV per cell): 6.2
Energy relative to the elements (eV per formula unit): -0.7
Crystal system: cubic
ΔE to the lowest computed polymorph (meV/atom): 3